No. 1
An optimized crystal structure of Dy3Sb2, computed with PBE-GGA.

The calculation puts the total energy at -5.21 eV per atom. For the mass density, the calculation gives 8.0 g/cm3. The symmetry is Ibam (72).

Unit cell a=7.808 b=7.808 c=7.808 alpha=114.43 beta=84.56 gamma=132.93
Atoms (fractional coordinates):
Dy 0.153 0.644 0.798
Dy 0.250 0.250 0.000
Dy 0.347 0.144 0.491
Dy 0.653 0.856 0.509
Dy 0.750 0.750 0.000
Dy 0.847 0.356 0.202
Sb 0.109 0.288 0.397
Sb 0.391 0.788 0.180
Sb 0.609 0.212 0.820
Sb 0.891 0.712 0.603

No. 2
An optimized crystal structure of Dy5Sb, computed with PBE-GGA.

The calculation puts the total energy at -4.83 eV per atom. For the mass density, the calculation gives 9.0 g/cm3. The symmetry is Cmmm (65).

Unit cell a=7.795 b=7.795 c=4.861 alpha=90.00 beta=90.00 gamma=144.08
Atoms (fractional coordinates):
Dy 0.000 0.000 0.000
Dy 0.161 0.839 0.500
Dy 0.333 0.667 0.000
Dy 0.667 0.333 0.000
Dy 0.839 0.161 0.500
Sb 0.500 0.500 0.500

No. 3
An optimized crystal structure of DySc3Sb4, computed with PBE-GGA.

For the mass density, the calculation gives 6.1 g/cm3. Its energy relative to the lowest polymorph listed for this composition is 8 meV per atom. The symmetry is Pm-3m (221).

Unit cell a=5.976 b=5.976 c=5.976 alpha=90.00 beta=90.00 gamma=90.00
Atoms (fractional coordinates):
Dy 0.000 0.000 0.000
Sc 0.000 0.500 0.500
Sc 0.500 0.000 0.500
Sc 0.500 0.500 0.000
Sb 0.000 0.000 0.500
Sb 0.000 0.500 0.000
Sb 0.500 0.000 0.000
Sb 0.500 0.500 0.500

No. 4
An optimized crystal structure of DyScSb2, computed with PBE-GGA.

For the mass density, the calculation gives 6.6 g/cm3. Its energy relative to the lowest polymorph listed for this composition is 38 meV per atom. The symmetry is P-3m1 (164).

Unit cell a=4.258 b=4.258 c=7.231 alpha=90.00 beta=90.00 gamma=120.00
Atoms (fractional coordinates):
Dy 0.000 0.000 0.000
Sc 0.000 0.000 0.500
Sb 0.333 0.667 0.735
Sb 0.667 0.333 0.265

No. 5
An optimized crystal structure of DySc2Sb, computed with PBE-GGA.

For the mass density, the calculation gives 5.6 g/cm3. Its energy relative to the lowest polymorph listed for this composition is 302 meV per atom. The symmetry is R3m (160).

Unit cell a=6.065 b=6.065 c=6.065 alpha=47.33 beta=47.33 gamma=47.33
Atoms (fractional coordinates):
Dy 0.000 0.000 0.000
Sc 0.210 0.210 0.210
Sc 0.441 0.441 0.441
Sb 0.804 0.804 0.804

No. 6
An optimized crystal structure of Dy2ScSb3, computed with PBE-GGA.

For the mass density, the calculation gives 7.2 g/cm3. Its energy relative to the lowest polymorph listed for this composition is 0 meV per atom. The symmetry is C2/m (12).

Unit cell a=7.477 b=7.477 c=7.469 alpha=99.62 beta=99.62 gamma=120.02
Atoms (fractional coordinates):
Dy 0.000 0.000 0.000
Dy 0.163 0.837 0.500
Dy 0.500 0.500 0.500
Dy 0.837 0.163 0.500
Sc 0.332 0.668 0.000
Sc 0.668 0.332 0.000
Sb 0.081 0.422 0.242
Sb 0.263 0.263 0.762
Sb 0.422 0.081 0.242
Sb 0.578 0.919 0.758
Sb 0.737 0.737 0.238
Sb 0.919 0.578 0.758